# 1
A plane-wave DFT calculation with GGA-PBE was carried out for a relaxed MgAl2Re crystal.

The energy relative to the elements is -0.052 eV per atom.

The structure belongs to space group Pmmm (No. 47); the cell edges are 2.792, 4.027 and 5.648 Å and the angles 90.00°, 90.00° and 90.00°. Symmetry generates all atoms from Mg at (0.000, 0.000, 0.000), Al at (0.500, 0.500, 0.271) and Re at (0.000, 0.000, 0.500).

=====

# 2
A plane-wave DFT calculation with GGA-PBE was carried out for a relaxed MgAl2Re crystal.

The energy relative to the elements is 0.127 eV per atom.

The structure belongs to space group Cmm2 (No. 35); the cell edges are 3.297, 4.486 and 8.854 Å and the angles 90.00°, 90.00° and 90.00°. Symmetry generates all atoms from Mg at (0.000, 0.000, 0.000), Al at (0.000, 0.000, 0.526), Al at (0.000, 0.500, 0.273) and Re at (0.000, 0.500, 0.750).

=====

# 3
A plane-wave DFT calculation with GGA-PBE was carried out for a relaxed MgAl2Re crystal.

The energy relative to the elements is -0.085 eV per atom.

The structure belongs to space group I4/mmm (No. 139); the cell edges are 3.950, 3.950 and 7.936 Å and the angles 90.00°, 90.00° and 90.00°. Symmetry generates all atoms from Mg at (0.000, 0.000, 0.000), Al at (0.000, 0.500, 0.250) and Re at (0.000, 0.000, 0.500).

=====

# 4
A plane-wave DFT calculation with GGA-PBE was carried out for a relaxed Mg2AlRe crystal.

The energy relative to the elements is 0.403 eV per atom.

The structure belongs to space group P4/mmm (No. 123); the cell edges are 3.507, 3.507 and 5.640 Å and the angles 90.00°, 90.00° and 90.00°. Symmetry generates all atoms from Mg at (0.000, 0.000, 0.234), Al at (0.500, 0.500, 0.500) and Re at (0.500, 0.500, 0.000).